1.
This record from the Alexandria database describes a relaxed AcGa3Pd crystal. The functional is PBE.

Cell lengths 4.471, 4.471, 10.709 Å; angles 90.00, 90.00, 90.00 degrees
Atoms (fractional coordinates):
Ac 0.000 0.000 0.000
Ac 0.500 0.500 0.500
Ga 0.000 0.000 0.600
Ga 0.000 0.500 0.245
Ga 0.000 0.500 0.745
Ga 0.500 0.000 0.245
Ga 0.500 0.000 0.745
Ga 0.500 0.500 0.100
Pd 0.000 0.000 0.362
Pd 0.500 0.500 0.862

- Energy of formation from the pure elements: -0.7137 eV per atom
- Raw total energy: -43.90 eV per cell


2.
This record from the Alexandria database describes a relaxed Ac2Ga4Pd5 crystal. The functional is PBE.

Cell lengths 9.236, 8.300, 5.781 Å; angles 79.79, 62.18, 38.02 degrees
Atoms (fractional coordinates):
Ac 0.135 0.135 0.865
Ac 0.865 0.865 0.135
Ga 0.213 0.531 0.469
Ga 0.469 0.787 0.213
Ga 0.531 0.213 0.787
Ga 0.787 0.469 0.531
Pd 0.000 0.000 0.500
Pd 0.250 0.250 0.250
Pd 0.500 0.500 0.000
Pd 0.500 0.500 0.500
Pd 0.750 0.750 0.750

- Energy of formation from the pure elements: -0.7729 eV per atom
- Raw total energy: -54.79 eV per cell


3.
This record from the Alexandria database describes a relaxed AcGaPd2 crystal. The functional is PBE.

Cell lengths 7.772, 7.174, 6.118 Å; angles 90.00, 90.00, 90.00 degrees
Atoms (fractional coordinates):
Ac 0.030 0.250 0.153
Ac 0.470 0.750 0.653
Ac 0.530 0.250 0.347
Ac 0.970 0.750 0.847
Ga 0.124 0.750 0.347
Ga 0.376 0.250 0.847
Ga 0.624 0.750 0.153
Ga 0.876 0.250 0.653
Pd 0.175 0.054 0.587
Pd 0.175 0.446 0.587
Pd 0.325 0.554 0.087
Pd 0.325 0.946 0.087
Pd 0.675 0.054 0.913
Pd 0.675 0.446 0.913
Pd 0.825 0.554 0.413
Pd 0.825 0.946 0.413

- Energy of formation from the pure elements: -0.8307 eV per atom
- Raw total energy: -83.37 eV per cell


4.
This record from the Alexandria database describes a relaxed AcGaPd crystal. The functional is PBE.

Cell lengths 11.079, 4.475, 7.462 Å; angles 90.00, 128.07, 90.00 degrees
Atoms (fractional coordinates):
Ac 0.054 0.000 0.302
Ac 0.446 0.500 0.698
Ac 0.554 0.500 0.302
Ac 0.946 0.000 0.698
Ga 0.188 0.500 0.097
Ga 0.312 0.000 0.903
Ga 0.688 0.000 0.097
Ga 0.812 0.500 0.903
Pd 0.163 0.500 0.707
Pd 0.337 0.000 0.293
Pd 0.663 0.000 0.707
Pd 0.837 0.500 0.293

- Energy of formation from the pure elements: -0.7505 eV per atom
- Raw total energy: -58.32 eV per cell


5.
This record from the Alexandria database describes a relaxed AcGa4Pd8 crystal. The functional is PBE.

Cell lengths 6.902, 6.902, 6.902 Å; angles 98.93, 98.93, 133.59 degrees
Atoms (fractional coordinates):
Ac 0.000 0.000 0.000
Ga 0.000 0.000 0.500
Ga 0.000 0.500 0.000
Ga 0.500 0.000 0.000
Ga 0.500 0.500 0.500
Pd 0.000 0.340 0.340
Pd 0.000 0.660 0.660
Pd 0.273 0.500 0.773
Pd 0.340 0.000 0.340
Pd 0.500 0.273 0.773
Pd 0.500 0.727 0.227
Pd 0.660 0.000 0.660
Pd 0.727 0.500 0.227

- Energy of formation from the pure elements: -0.6512 eV per atom
- Raw total energy: -66.22 eV per cell


6.
This record from the Alexandria database describes a relaxed Ac4GaPd3 crystal. The functional is PBE.

Cell lengths 4.230, 4.687, 11.771 Å; angles 90.00, 90.00, 90.00 degrees
Atoms (fractional coordinates):
Ac 0.000 0.000 0.000
Ac 0.000 0.500 0.265
Ac 0.500 0.000 0.490
Ac 0.500 0.500 0.772
Ga 0.000 0.000 0.704
Pd 0.000 0.500 0.556
Pd 0.500 0.000 0.217
Pd 0.500 0.500 0.051

- Energy of formation from the pure elements: -0.7156 eV per atom
- Raw total energy: -40.76 eV per cell


7.
This record from the Alexandria database describes a relaxed Ac5Ga2Pd2 crystal. The functional is PBE.

Cell lengths 9.085, 9.085, 8.735 Å; angles 90.00, 90.00, 52.52 degrees
Atoms (fractional coordinates):
Ac 0.000 0.000 0.000
Ac 0.032 0.699 0.673
Ac 0.199 0.532 0.173
Ac 0.301 0.968 0.673
Ac 0.468 0.801 0.173
Ac 0.500 0.500 0.500
Ac 0.532 0.199 0.827
Ac 0.699 0.032 0.327
Ac 0.801 0.468 0.827
Ac 0.968 0.301 0.327
Ga 0.207 0.207 0.000
Ga 0.293 0.293 0.500
Ga 0.707 0.707 0.500
Ga 0.793 0.793 0.000
Pd 0.125 0.875 0.379
Pd 0.375 0.625 0.879
Pd 0.625 0.375 0.121
Pd 0.875 0.125 0.621

- Energy of formation from the pure elements: -0.5083 eV per atom
- Raw total energy: -83.11 eV per cell


8.
This record from the Alexandria database describes a relaxed Ac2Ga5Pd4 crystal. The functional is PBE.

Cell lengths 9.545, 8.664, 5.651 Å; angles 80.65, 63.60, 35.74 degrees
Atoms (fractional coordinates):
Ac 0.132 0.132 0.868
Ac 0.868 0.868 0.132
Ga 0.000 0.000 0.500
Ga 0.250 0.250 0.250
Ga 0.500 0.500 0.000
Ga 0.500 0.500 0.500
Ga 0.750 0.750 0.750
Pd 0.211 0.527 0.473
Pd 0.473 0.789 0.211
Pd 0.527 0.211 0.789
Pd 0.789 0.473 0.527

- Energy of formation from the pure elements: -0.7408 eV per atom
- Raw total energy: -52.27 eV per cell


9.
This record from the Alexandria database describes a relaxed AcGa8Pd4 crystal. The functional is PBE.

Cell lengths 7.011, 7.011, 7.011 Å; angles 99.00, 99.00, 133.40 degrees
Atoms (fractional coordinates):
Ac 0.000 0.000 0.000
Ga 0.000 0.353 0.353
Ga 0.000 0.647 0.647
Ga 0.275 0.500 0.775
Ga 0.353 0.000 0.353
Ga 0.500 0.275 0.775
Ga 0.500 0.725 0.225
Ga 0.647 0.000 0.647
Ga 0.725 0.500 0.225
Pd 0.000 0.000 0.500
Pd 0.000 0.500 0.000
Pd 0.500 0.000 0.000
Pd 0.500 0.500 0.500

- Energy of formation from the pure elements: -0.5345 eV per atom
- Raw total energy: -56.04 eV per cell


10.
This record from the Alexandria database describes a relaxed AcGaPd crystal. The functional is PBE.

Cell lengths 4.556, 4.556, 4.187 Å; angles 90.00, 90.00, 120.00 degrees
Atoms (fractional coordinates):
Ac 0.000 0.000 0.000
Ga 0.667 0.333 0.500
Pd 0.333 0.667 0.500

- Energy of formation from the pure elements: -0.7930 eV per atom
- Raw total energy: -14.71 eV per cell


11.
This record from the Alexandria database describes a relaxed Ac5Ga4Pd crystal. The functional is PBE.

Cell lengths 3.909, 3.909, 19.421 Å; angles 90.00, 90.00, 90.00 degrees
Atoms (fractional coordinates):
Ac 0.000 0.000 0.000
Ac 0.000 0.000 0.203
Ac 0.000 0.000 0.405
Ac 0.000 0.000 0.595
Ac 0.000 0.000 0.797
Ga 0.500 0.500 0.101
Ga 0.500 0.500 0.302
Ga 0.500 0.500 0.698
Ga 0.500 0.500 0.899
Pd 0.500 0.500 0.500

- Energy of formation from the pure elements: -0.4938 eV per atom
- Raw total energy: -42.78 eV per cell


12.
This record from the Alexandria database describes a relaxed Ac4Ga5Pd2 crystal. The functional is PBE.

Cell lengths 7.404, 4.165, 9.565 Å; angles 90.00, 93.70, 90.00 degrees
Atoms (fractional coordinates):
Ac 0.183 0.000 0.374
Ac 0.253 0.000 0.932
Ac 0.747 0.000 0.068
Ac 0.817 0.000 0.626
Ga 0.203 0.500 0.659
Ga 0.448 0.500 0.202
Ga 0.500 0.500 0.500
Ga 0.552 0.500 0.798
Ga 0.797 0.500 0.341
Pd 0.073 0.500 0.143
Pd 0.927 0.500 0.857

- Energy of formation from the pure elements: -0.5635 eV per atom
- Raw total energy: -48.15 eV per cell


no.,ρ (kg/m³)
1,8417
2,9285
3,9923
4,9194
5,10295
6,9229
7,8633
8,9015
9,8742
10,8896
11,8509
12,8291